# 1
Here is a geometry-optimized GdHfTi2 structure from Alexandria. Energies are from PBE-GGA.

Properties
Symmetry: P4/mmm (123)
Calculated total energy in eV per atom: -9.76
V in Å³/atom: 21.77

a = 3.111 Å, b = 3.111 Å, c = 8.999 Å
α = 90.00°, β = 90.00°, γ = 90.00°
Positions (direct):
Gd1 0.000 0.000 0.000
Hf1 0.000 0.000 0.500
Ti1 0.500 0.500 0.274
Ti2 0.500 0.500 0.726

***

# 2
Here is a geometry-optimized TlFeRu2 structure from Alexandria. Energies are from PBE-GGA.

Properties
Symmetry: P4mm (99)
Calculated total energy in eV per atom: -6.89
V in Å³/atom: 15.89

a = 2.854 Å, b = 2.854 Å, c = 7.804 Å
α = 90.00°, β = 90.00°, γ = 90.00°
Positions (direct):
Tl1 0.000 0.000 0.000
Fe1 0.500 0.500 0.276
Ru1 0.000 0.000 0.506
Ru2 0.500 0.500 0.718

***

# 3
Here is a geometry-optimized BeSiPb structure from Alexandria. Energies are from PBE-GGA.

Properties
Symmetry: F-43m (216)
Raw formation energy in eV/atom: 0.558
Calculated total energy in eV per atom: -3.73
V in Å³/atom: 19.86

a = 6.199 Å, b = 6.199 Å, c = 6.199 Å
α = 90.00°, β = 90.00°, γ = 90.00°
Positions (direct):
Be1 0.000 0.000 0.000
Be2 0.000 0.500 0.500
Be3 0.500 0.000 0.500
Be4 0.500 0.500 0.000
Si1 0.250 0.250 0.250
Si2 0.250 0.750 0.750
Si3 0.750 0.250 0.750
Si4 0.750 0.750 0.250
Pb1 0.250 0.250 0.750
Pb2 0.250 0.750 0.250
Pb3 0.750 0.250 0.250
Pb4 0.750 0.750 0.750

***

# 4
Here is a geometry-optimized Th2ZrZn structure from Alexandria. Energies are from PBE-GGA.

Properties
Symmetry: P4/mmm (123)
Calculated total energy in eV per atom: -6.14
V in Å³/atom: 26.76

a = 3.507 Å, b = 3.507 Å, c = 8.701 Å
α = 90.00°, β = 90.00°, γ = 90.00°
Positions (direct):
Th1 0.000 0.000 0.233
Th2 0.000 0.000 0.767
Zr1 0.500 0.500 0.500
Zn1 0.500 0.500 0.000

***

# 5
Here is a geometry-optimized FeHgBr2 structure from Alexandria. Energies are from PBE-GGA.

Properties
Symmetry: Cmmm (65)
Raw formation energy in eV/atom: -0.162
Calculated total energy in eV per atom: -3.19
V in Å³/atom: 36.13

a = 3.549 Å, b = 7.475 Å, c = 10.895 Å
α = 90.00°, β = 90.00°, γ = 90.00°
Positions (direct):
Fe1 0.000 0.000 0.000
Fe2 0.500 0.500 0.000
Hg1 0.000 0.000 0.500
Hg2 0.500 0.500 0.500
Br1 0.000 0.500 0.161
Br2 0.000 0.500 0.839
Br3 0.500 0.000 0.161
Br4 0.500 0.000 0.839

***

# 6
Here is a geometry-optimized NiPdS6 structure from Alexandria. Energies are from PBE-GGA.

Properties
Symmetry: P-1 (2)
Raw formation energy in eV/atom: 0.022
Calculated total energy in eV per atom: -4.45
V in Å³/atom: 27.90

a = 5.578 Å, b = 5.827 Å, c = 7.142 Å
α = 85.65°, β = 77.42°, γ = 80.40°
Positions (direct):
Ni1 0.000 0.000 0.000
Pd1 0.000 0.500 0.000
S1 0.012 0.185 0.244
S2 0.270 0.316 0.724
S3 0.320 0.967 0.774
S4 0.680 0.033 0.226
S5 0.730 0.684 0.276
S6 0.988 0.815 0.756

***

# 7
Here is a geometry-optimized Ca2NiP3Pt12 structure from Alexandria. Energies are from PBE-GGA.

Properties
Symmetry: R-3m (166)
Calculated total energy in eV per atom: -5.79
V in Å³/atom: 19.35

a = 7.650 Å, b = 7.650 Å, c = 7.650 Å
α = 64.59°, β = 64.59°, γ = 64.59°
Positions (direct):
Ca1 0.113 0.113 0.113
Ca2 0.887 0.887 0.887
Ni1 0.500 0.500 0.500
P1 0.000 0.500 0.500
P2 0.500 0.000 0.500
P3 0.500 0.500 0.000
Pt1 0.133 0.620 0.620
Pt2 0.153 0.153 0.601
Pt3 0.153 0.601 0.153
Pt4 0.380 0.380 0.867
Pt5 0.380 0.867 0.380
Pt6 0.399 0.847 0.847
Pt7 0.601 0.153 0.153
Pt8 0.620 0.133 0.620
Pt9 0.620 0.620 0.133
Pt10 0.847 0.399 0.847
Pt11 0.847 0.847 0.399
Pt12 0.867 0.380 0.380

***

# 8
Here is a geometry-optimized Tl2AgPb structure from Alexandria. Energies are from PBE-GGA.

Properties
Symmetry: Pm (6)
Calculated total energy in eV per atom: -2.73
V in Å³/atom: 27.88

a = 3.445 Å, b = 4.778 Å, c = 6.980 Å
α = 90.00°, β = 103.93°, γ = 90.00°
Positions (direct):
Tl1 0.000 0.000 0.000
Tl2 0.354 0.500 0.704
Ag1 0.590 0.500 0.175
Pb1 0.732 0.000 0.452

***

# 9
Here is a geometry-optimized Nd12GaHg6 structure from Alexandria. Energies are from PBE-GGA.

Properties
Symmetry: R-3 (148)
Calculated total energy in eV per atom: -3.49
V in Å³/atom: 29.77

a = 8.271 Å, b = 8.271 Å, c = 8.271 Å
α = 90.89°, β = 90.89°, γ = 90.89°
Positions (direct):
Nd1 0.047 0.358 0.107
Nd2 0.107 0.047 0.358
Nd3 0.190 0.562 0.463
Nd4 0.358 0.107 0.047
Nd5 0.438 0.537 0.810
Nd6 0.463 0.190 0.562
Nd7 0.537 0.810 0.438
Nd8 0.562 0.463 0.190
Nd9 0.642 0.893 0.953
Nd10 0.810 0.438 0.537
Nd11 0.893 0.953 0.642
Nd12 0.953 0.642 0.893
Ga1 0.000 0.000 0.000
Hg1 0.122 0.276 0.728
Hg2 0.272 0.878 0.724
Hg3 0.276 0.728 0.122
Hg4 0.724 0.272 0.878
Hg5 0.728 0.122 0.276
Hg6 0.878 0.724 0.272

***

# 10
Here is a geometry-optimized BaGa2Sb2 structure from Alexandria. Energies are from PBE-GGA.

Properties
Symmetry: I4/mmm (139)
Raw formation energy in eV/atom: -0.393
Calculated total energy in eV per atom: -3.64
V in Å³/atom: 30.50

a = 5.030 Å, b = 5.030 Å, c = 12.053 Å
α = 90.00°, β = 90.00°, γ = 90.00°
Positions (direct):
Ba1 0.000 0.000 0.000
Ba2 0.500 0.500 0.500
Ga1 0.000 0.500 0.250
Ga2 0.000 0.500 0.750
Ga3 0.500 0.000 0.250
Ga4 0.500 0.000 0.750
Sb1 0.000 0.000 0.358
Sb2 0.000 0.000 0.642
Sb3 0.500 0.500 0.142
Sb4 0.500 0.500 0.858

***

# 11
Here is a geometry-optimized BeSnOs structure from Alexandria. Energies are from PBE-GGA.

Properties
Symmetry: Cm (8)
Calculated total energy in eV per atom: -6.25
V in Å³/atom: 15.24

a = 9.575 Å, b = 3.162 Å, c = 6.040 Å
α = 90.00°, β = 90.51°, γ = 90.00°
Positions (direct):
Be1 0.000 0.000 0.000
Be2 0.101 0.000 0.452
Be3 0.500 0.500 0.000
Be4 0.601 0.500 0.452
Sn1 0.226 0.500 0.122
Sn2 0.342 0.500 0.629
Sn3 0.726 0.000 0.122
Sn4 0.842 0.000 0.629
Os1 0.069 0.500 0.747
Os2 0.450 0.000 0.268
Os3 0.569 0.000 0.747
Os4 0.950 0.500 0.268

***

# 12
Here is a geometry-optimized AcLu2Au structure from Alexandria. Energies are from PBE-GGA.

Properties
Symmetry: P4/mmm (123)
Calculated total energy in eV per atom: -4.25
V in Å³/atom: 28.71

a = 4.763 Å, b = 4.763 Å, c = 5.063 Å
α = 90.00°, β = 90.00°, γ = 90.00°
Positions (direct):
Ac1 0.000 0.000 0.000
Lu1 0.000 0.500 0.500
Lu2 0.500 0.000 0.500
Au1 0.500 0.500 0.000